1.
Material: Tm2Al5Au3
Method: DFT, PBE
State: optimized geometry

Unit cell a=8.594 b=8.594 c=8.594 alpha=100.00 beta=94.02 gamma=139.13
Fractional coordinates of all 20 atoms:
Tm (0.129, 0.241, 0.370)
Tm (0.371, 0.741, 0.112)
Tm (0.629, 0.259, 0.888)
Tm (0.871, 0.759, 0.630)
Al (0.005, 0.750, 0.255)
Al (0.115, 0.644, 0.759)
Al (0.250, 0.250, 0.000)
Al (0.385, 0.144, 0.529)
Al (0.495, 0.750, 0.745)
Al (0.505, 0.250, 0.255)
Al (0.615, 0.856, 0.471)
Al (0.750, 0.750, 0.000)
Al (0.885, 0.356, 0.241)
Al (0.995, 0.250, 0.745)
Au (0.129, 0.866, 0.994)
Au (0.250, 0.750, 0.500)
Au (0.371, 0.366, 0.737)
Au (0.629, 0.634, 0.263)
Au (0.750, 0.250, 0.500)
Au (0.871, 0.134, 0.006)

Values from the calculation:
E   -4.3684 eV/atom
Symmetry   Ibam
Fermi-level density of states   0.3754 states/eV/atom
E_form   -620 meV per atom



2.
Material: NaMg2ZnIr
Method: DFT, PBE
State: optimized geometry

Unit cell a=5.011 b=5.011 c=4.908 alpha=90.00 beta=90.00 gamma=90.00
Fractional coordinates of all 5 atoms:
Na (0.000, 0.000, 0.000)
Mg (0.000, 0.500, 0.500)
Mg (0.500, 0.000, 0.500)
Zn (0.500, 0.500, 0.000)
Ir (0.500, 0.500, 0.500)

Values from the calculation:
E   -2.9996 eV/atom
Symmetry   P4/mmm
Fermi-level density of states   0.4106 states/eV/atom
E_form   -71 meV per atom



3.
Material: BeC4
Method: DFT, PBE
State: optimized geometry

Unit cell a=3.609 b=3.609 c=3.609 alpha=124.42 beta=124.42 gamma=82.51
Fractional coordinates of all 5 atoms:
Be (0.000, 0.000, 0.000)
C (0.250, 0.750, 0.500)
C (0.353, 0.353, 0.000)
C (0.647, 0.647, 0.000)
C (0.750, 0.250, 0.500)

Values from the calculation:
E   -6.0435 eV/atom
Symmetry   I4/mmm
Fermi-level density of states   0.1658 states/eV/atom
E_form   2081 meV per atom



4.
Material: CeU2TcC4
Method: DFT, PBE
State: optimized geometry

Unit cell a=6.158 b=6.158 c=11.492 alpha=90.00 beta=90.00 gamma=146.79
Fractional coordinates of all 16 atoms:
Ce (0.111, 0.889, 0.750)
Ce (0.889, 0.111, 0.250)
U (0.371, 0.629, 0.549)
U (0.371, 0.629, 0.951)
U (0.629, 0.371, 0.049)
U (0.629, 0.371, 0.451)
Tc (0.148, 0.852, 0.250)
Tc (0.852, 0.148, 0.750)
C (0.000, 0.000, 0.000)
C (0.000, 0.000, 0.500)
C (0.263, 0.737, 0.116)
C (0.263, 0.737, 0.384)
C (0.453, 0.547, 0.750)
C (0.547, 0.453, 0.250)
C (0.737, 0.263, 0.616)
C (0.737, 0.263, 0.884)

Values from the calculation:
E   -9.5451 eV/atom
Symmetry   Cmcm
Fermi-level density of states   0.8445 states/eV/atom
E_form   -74 meV per atom



5.
Material: ReIr2Os2
Method: DFT, PBE
State: optimized geometry

Unit cell a=4.751 b=4.753 c=7.208 alpha=102.93 beta=108.81 gamma=99.63
Fractional coordinates of all 10 atoms:
Re (0.101, 0.048, 0.351)
Re (0.899, 0.952, 0.649)
Ir (0.099, 0.548, 0.849)
Ir (0.305, 0.656, 0.549)
Ir (0.695, 0.344, 0.451)
Ir (0.901, 0.452, 0.151)
Os (0.303, 0.149, 0.053)
Os (0.500, 0.249, 0.753)
Os (0.500, 0.751, 0.247)
Os (0.697, 0.851, 0.947)

Values from the calculation:
E   -10.5395 eV/atom
Symmetry   P-1
Fermi-level density of states   0.8448 states/eV/atom
E_form   -14 meV per atom



6.
Material: Hf4Fe2Ru
Method: DFT, PBE
State: optimized geometry

Unit cell a=5.463 b=5.463 c=5.463 alpha=109.35 beta=109.35 gamma=109.71
Fractional coordinates of all 7 atoms:
Hf (0.000, 0.000, 0.500)
Hf (0.000, 0.500, 0.000)
Hf (0.500, 0.000, 0.000)
Hf (0.500, 0.500, 0.500)
Fe (0.000, 0.500, 0.500)
Fe (0.500, 0.000, 0.500)
Ru (0.000, 0.000, 0.000)

Values from the calculation:
E   -9.6997 eV/atom
Symmetry   I4/mmm
Fermi-level density of states   0.7784 states/eV/atom
E_form   -269 meV per atom



7.
Material: Hf4AgS8
Method: DFT, PBE
State: optimized geometry

Unit cell a=7.894 b=7.894 c=7.894 alpha=54.60 beta=54.60 gamma=54.60
Fractional coordinates of all 13 atoms:
Hf (0.000, 0.000, 0.000)
Hf (0.000, 0.500, 0.500)
Hf (0.500, 0.000, 0.500)
Hf (0.500, 0.500, 0.000)
Ag (0.500, 0.500, 0.500)
S (0.240, 0.240, 0.741)
S (0.240, 0.741, 0.240)
S (0.259, 0.760, 0.760)
S (0.261, 0.261, 0.261)
S (0.739, 0.739, 0.739)
S (0.741, 0.240, 0.240)
S (0.760, 0.259, 0.760)
S (0.760, 0.760, 0.259)

Values from the calculation:
E   -7.2151 eV/atom
Symmetry   R-3m
Fermi-level density of states   0.2475 states/eV/atom
Formation energy without anion corrections   -1393 meV per atom



8.
Material: Cd3Ag2F8
Method: DFT, PBE
State: optimized geometry

Unit cell a=6.804 b=6.804 c=5.931 alpha=106.67 beta=106.67 gamma=61.85
Fractional coordinates of all 13 atoms:
Cd (0.000, 0.000, 0.000)
Cd (0.258, 0.742, 0.500)
Cd (0.742, 0.258, 0.500)
Ag (0.285, 0.285, 0.865)
Ag (0.715, 0.715, 0.135)
F (0.100, 0.100, 0.405)
F (0.104, 0.666, 0.109)
F (0.334, 0.896, 0.891)
F (0.398, 0.398, 0.593)
F (0.602, 0.602, 0.407)
F (0.666, 0.104, 0.109)
F (0.896, 0.334, 0.891)
F (0.900, 0.900, 0.595)

Values from the calculation:
E   -3.5891 eV/atom
Symmetry   C2/m
Formation energy without anion corrections   -1788 meV per atom



9.
Material: Pr4GeCCl2
Method: DFT, PBE
State: optimized geometry

Unit cell a=7.143 b=4.042 c=7.543 alpha=90.00 beta=108.35 gamma=90.00
Fractional coordinates of all 8 atoms:
Pr (0.211, 0.000, 0.200)
Pr (0.231, 0.500, 0.789)
Pr (0.769, 0.500, 0.211)
Pr (0.789, 0.000, 0.800)
Ge (0.500, 0.000, 0.000)
C (0.000, 0.500, 0.000)
Cl (0.000, 0.000, 0.500)
Cl (0.500, 0.500, 0.500)

Values from the calculation:
E   -5.6606 eV/atom
Symmetry   P2/m
Fermi-level density of states   0.4540 states/eV/atom
Formation energy without anion corrections   -1079 meV per atom



10.
Material: Mg2ReRu
Method: DFT, PBE
State: optimized geometry

Unit cell a=2.716 b=2.716 c=8.952 alpha=90.00 beta=90.00 gamma=107.91
Fractional coordinates of all 4 atoms:
Mg (0.000, 0.000, 0.243)
Mg (0.000, 0.000, 0.757)
Re (0.500, 0.500, 0.500)
Ru (0.500, 0.500, 0.000)

Values from the calculation:
E   -5.9960 eV/atom
Symmetry   Cmmm
Fermi-level density of states   0.7312 states/eV/atom
E_form   232 meV per atom



11.
Material: LaHfCo10
Method: DFT, PBE
State: optimized geometry

Unit cell a=3.973 b=4.864 c=8.501 alpha=90.00 beta=90.00 gamma=90.00
Fractional coordinates of all 12 atoms:
La (0.000, 0.000, 0.000)
Hf (0.000, 0.500, 0.500)
Co (0.000, 0.000, 0.346)
Co (0.000, 0.000, 0.654)
Co (0.000, 0.500, 0.185)
Co (0.000, 0.500, 0.815)
Co (0.500, 0.000, 0.500)
Co (0.500, 0.260, 0.265)
Co (0.500, 0.260, 0.735)
Co (0.500, 0.500, 0.000)
Co (0.500, 0.740, 0.265)
Co (0.500, 0.740, 0.735)

Values from the calculation:
E   -7.2338 eV/atom
Symmetry   Pmmm
Fermi-level density of states   1.4420 states/eV/atom
E_form   -72 meV per atom



12.
Material: BiBTe2Rh
Method: DFT, PBE
State: optimized geometry

Unit cell a=5.939 b=5.939 c=5.049 alpha=90.00 beta=90.00 gamma=90.00
Fractional coordinates of all 5 atoms:
Bi (0.000, 0.000, 0.000)
B (0.500, 0.500, 0.500)
Te (0.000, 0.500, 0.000)
Te (0.500, 0.000, 0.000)
Rh (0.000, 0.000, 0.500)

Values from the calculation:
E   -3.1319 eV/atom
Symmetry   P4/mmm
Fermi-level density of states   0.7930 states/eV/atom
Formation energy without anion corrections   1707 meV per atom



13.
Material: Li2PmPb9
Method: DFT, PBE
State: optimized geometry

Unit cell a=4.823 b=4.823 c=14.881 alpha=90.00 beta=90.00 gamma=90.00
Fractional coordinates of all 12 atoms:
Li (0.000, 0.000, 0.167)
Li (0.000, 0.000, 0.833)
Pm (0.000, 0.000, 0.500)
Pb (0.000, 0.500, 0.000)
Pb (0.000, 0.500, 0.326)
Pb (0.000, 0.500, 0.674)
Pb (0.500, 0.000, 0.000)
Pb (0.500, 0.000, 0.326)
Pb (0.500, 0.000, 0.674)
Pb (0.500, 0.500, 0.162)
Pb (0.500, 0.500, 0.500)
Pb (0.500, 0.500, 0.838)

Values from the calculation:
E   -3.6925 eV/atom
Symmetry   P4/mmm
Fermi-level density of states   0.3887 states/eV/atom
E_form   -196 meV per atom



14.
Material: BeHO2
Method: DFT, PBE
State: optimized geometry

Unit cell a=4.594 b=4.594 c=4.594 alpha=132.71 beta=132.71 gamma=69.10
Fractional coordinates of all 8 atoms:
Be (0.000, 0.000, 0.000)
Be (0.750, 0.250, 0.500)
H (0.250, 0.750, 0.500)
H (0.500, 0.500, 0.000)
O (0.130, 0.625, 0.005)
O (0.375, 0.380, 0.505)
O (0.620, 0.125, 0.995)
O (0.875, 0.870, 0.495)

Values from the calculation:
E   -5.2501 eV/atom
Symmetry   I-42d
Fermi-level density of states   0.3372 states/eV/atom



15.
Material: Ba2I2Cl
Method: DFT, PBE
State: optimized geometry

Unit cell a=8.806 b=8.806 c=5.190 alpha=90.00 beta=90.00 gamma=90.00
Fractional coordinates of all 10 atoms:
Ba (0.166, 0.334, 0.000)
Ba (0.334, 0.834, 0.000)
Ba (0.666, 0.166, 0.000)
Ba (0.834, 0.666, 0.000)
I (0.149, 0.649, 0.500)
I (0.351, 0.149, 0.500)
I (0.649, 0.851, 0.500)
I (0.851, 0.351, 0.500)
Cl (0.000, 0.000, 0.000)
Cl (0.500, 0.500, 0.000)

Values from the calculation:
E   -3.5038 eV/atom
Symmetry   P4/mbm
Fermi-level density of states   0.3105 states/eV/atom
Formation energy without anion corrections   -1745 meV per atom



16.
Material: Th2NbGe4Ir3
Method: DFT, PBE
State: optimized geometry

Unit cell a=4.242 b=4.242 c=10.723 alpha=90.00 beta=90.00 gamma=90.00
Fractional coordinates of all 10 atoms:
Th (0.000, 0.500, 0.237)
Th (0.500, 0.000, 0.763)
Nb (0.000, 0.000, 0.500)
Ge (0.000, 0.000, 0.000)
Ge (0.000, 0.500, 0.644)
Ge (0.500, 0.000, 0.356)
Ge (0.500, 0.500, 0.000)
Ir (0.000, 0.500, 0.874)
Ir (0.500, 0.000, 0.126)
Ir (0.500, 0.500, 0.500)

Values from the calculation:
E   -7.7172 eV/atom
Symmetry   P-4m2
Fermi-level density of states   0.4690 states/eV/atom
E_form   -721 meV per atom



17.
Material: Ba2CaAcSe4
Method: DFT, PBE
State: optimized geometry

Unit cell a=7.792 b=4.518 c=7.919 alpha=90.00 beta=109.26 gamma=90.00
Fractional coordinates of all 8 atoms:
Ba (0.000, 0.000, 0.000)
Ba (0.500, 0.500, 0.000)
Ca (0.000, 0.500, 0.500)
Ac (0.500, 0.000, 0.500)
Se (0.236, 0.000, 0.725)
Se (0.250, 0.500, 0.271)
Se (0.750, 0.500, 0.729)
Se (0.764, 0.000, 0.275)

Values from the calculation:
E   -4.9627 eV/atom
Symmetry   P2/m
Fermi-level density of states   0.3603 states/eV/atom
Formation energy without anion corrections   -1976 meV per atom



18.
Material: La2Si5Pt3
Method: DFT, PBE
State: optimized geometry

Unit cell a=8.333 b=8.333 c=6.149 alpha=111.59 beta=111.59 gamma=90.00
Fractional coordinates of all 20 atoms:
La (0.105, 0.362, 0.234)
La (0.362, 0.105, 0.734)
La (0.638, 0.895, 0.266)
La (0.895, 0.638, 0.766)
Si (0.000, 0.000, 0.250)
Si (0.000, 0.000, 0.750)
Si (0.239, 0.468, 0.853)
Si (0.269, 0.731, 0.750)
Si (0.270, 0.730, 0.250)
Si (0.468, 0.239, 0.353)
Si (0.532, 0.761, 0.647)
Si (0.730, 0.270, 0.750)
Si (0.731, 0.269, 0.250)
Si (0.761, 0.532, 0.147)
Pt (0.025, 0.754, 0.389)
Pt (0.246, 0.975, 0.111)
Pt (0.499, 0.501, 0.250)
Pt (0.501, 0.499, 0.750)
Pt (0.754, 0.025, 0.889)
Pt (0.975, 0.246, 0.611)

Values from the calculation:
E   -6.5320 eV/atom
Symmetry   C2/c
Fermi-level density of states   0.2208 states/eV/atom
Formation energy without anion corrections   -1023 meV per atom



19.
Material: SrYSb
Method: DFT, PBE
State: optimized geometry

Unit cell a=4.418 b=4.418 c=7.197 alpha=90.00 beta=90.00 gamma=120.00
Fractional coordinates of all 3 atoms:
Sr (0.000, 0.000, 0.000)
Y (0.667, 0.333, 0.480)
Sb (0.333, 0.667, 0.702)

Values from the calculation:
E   -4.6558 eV/atom
Symmetry   P3m1
Fermi-level density of states   0.4250 states/eV/atom
Formation energy without anion corrections   -566 meV per atom



20.
Material: HoVZn2
Method: DFT, PBE
State: optimized geometry

Unit cell a=9.280 b=9.280 c=9.280 alpha=19.12 beta=19.12 gamma=19.12
Fractional coordinates of all 4 atoms:
Ho (0.000, 0.000, 0.000)
V (0.500, 0.500, 0.500)
Zn (0.241, 0.241, 0.241)
Zn (0.759, 0.759, 0.759)

Values from the calculation:
E   -3.7932 eV/atom
Symmetry   R-3m
Fermi-level density of states   0.9956 states/eV/atom
E_form   268 meV per atom



21.
Material: Tb8NdDy3
Method: DFT, PBE
State: optimized geometry

Unit cell a=8.654 b=8.654 c=8.654 alpha=136.20 beta=98.56 gamma=97.44
Fractional coordinates of all 12 atoms:
Tb (0.081, 0.249, 0.832)
Tb (0.244, 0.253, 0.497)
Tb (0.244, 0.747, 0.991)
Tb (0.417, 0.249, 0.168)
Tb (0.583, 0.751, 0.832)
Tb (0.756, 0.253, 0.009)
Tb (0.756, 0.747, 0.503)
Tb (0.919, 0.751, 0.168)
Nd (0.500, 0.500, 0.000)
Dy (0.000, 0.000, 0.000)
Dy (0.244, 0.744, 0.500)
Dy (0.756, 0.256, 0.500)

Values from the calculation:
E   -4.3084 eV/atom
Symmetry   Immm
Fermi-level density of states   1.2126 states/eV/atom
E_form   326 meV per atom



22.
Material: Zn2CrRh
Method: DFT, PBE
State: optimized geometry

Unit cell a=2.798 b=2.798 c=6.931 alpha=90.00 beta=90.00 gamma=90.00
Fractional coordinates of all 4 atoms:
Zn (0.000, 0.000, 0.000)
Zn (0.500, 0.500, 0.267)
Cr (0.000, 0.000, 0.514)
Rh (0.500, 0.500, 0.742)

Values from the calculation:
E   -4.9635 eV/atom
Symmetry   P4mm
Fermi-level density of states   0.7417 states/eV/atom
E_form   -83 meV per atom



23.
Material: TiGeMo
Method: DFT, PBE
State: optimized geometry

Unit cell a=7.549 b=7.549 c=7.549 alpha=159.40 beta=159.40 gamma=29.29
Fractional coordinates of all 3 atoms:
Ti (0.000, 0.000, 0.000)
Ge (0.180, 0.180, 0.000)
Mo (0.822, 0.822, 0.000)

Values from the calculation:
E   -7.2745 eV/atom
Symmetry   I4mm
Fermi-level density of states   0.7580 states/eV/atom
E_form   507 meV per atom